Eu3Fe5H12 | the Alexandria database | GGA-PBE | relaxed; total energy = -5.7449 eV per atom; N(E_F) = 0.59 states/eV per atom
1.0
-5.330 4.070 -7.289
-1.235 -9.827 -0.097
-3.015 3.620 8.712
Eu Fe H
12 20 48
Cartesian
-4.838 -0.180 -4.414
-5.967 -3.357 -5.361
-4.809 -3.581 2.639
-2.617 1.147 1.433
-5.572 3.238 -4.212
-3.524 -3.711 -0.616
-6.056 1.574 1.942
-4.008 -5.374 5.538
-6.963 -3.283 -0.106
-4.771 1.445 -1.313
-3.613 1.220 6.688
-4.742 -1.956 5.740
-1.883 -2.271 1.231
-0.618 -4.913 -0.049
0.000 0.000 0.000
-2.684 -0.478 -1.669
-4.172 3.845 0.712
-3.283 -2.879 -3.693
-2.723 -5.504 2.283
-6.790 4.992 2.145
-5.900 -1.732 -2.260
-4.414 3.013 3.789
-5.166 -5.150 -2.462
-4.790 -1.068 0.663
-2.665 2.035 -3.644
-1.507 1.810 4.356
-3.680 -0.405 3.587
-2.790 -7.128 -0.818
-2.125 -3.103 4.308
-6.857 3.367 -0.957
-6.896 -1.659 2.995
-7.697 0.135 0.096
-3.779 1.847 -4.860
-3.651 -2.178 1.135
-6.730 1.230 -4.450
-3.245 0.672 -2.895
-5.953 -1.893 1.512
-6.497 -1.130 -5.798
-4.045 -5.196 1.143
-1.888 -8.319 0.136
-6.357 -4.908 1.450
-4.847 -2.344 -3.548
-6.189 -0.003 -2.524
-5.600 -5.552 -6.052
-2.904 -4.427 3.680
-2.901 -2.135 -2.259
-2.777 -7.192 2.819
-4.117 2.863 2.048
-1.184 -0.666 0.952
-3.687 -4.264 -2.874
-6.536 -4.477 -3.363
-1.297 -3.401 -0.004
-5.838 -5.104 4.121
-5.123 -1.975 -0.686
-7.442 -2.606 -2.284
-7.552 3.399 1.988
-4.457 -0.161 2.012
-2.138 0.469 3.610
-2.028 -5.536 -0.661
-3.044 2.340 4.690
-3.742 2.967 -2.794
-8.283 1.264 1.330
-5.893 2.127 4.200
-5.463 -4.999 -0.721
-8.396 -1.471 0.374
-6.803 5.056 -1.493
-6.676 2.290 -2.353
-3.980 3.415 7.378
-6.679 -0.001 3.586
-3.222 2.772 -0.124
-4.733 0.207 4.874
-3.391 -2.134 3.850
-7.692 6.183 1.191
-5.535 3.059 0.184
-6.335 -2.809 4.222
-3.083 -1.007 7.125
-3.627 -0.244 -0.185
-2.850 -3.366 5.777
-5.929 0.042 0.191
-5.801 -3.984 6.187